Record 1
The following is a DFT calculation (GGA-PBE) of an optimized crystal structure of Pr2NdZn2Si4Au2.

Unit cell a=4.245 b=4.285 c=24.852 alpha=90.00 beta=90.00 gamma=90.00
Space group Immm (No. 71)
Asymmetric unit:
Pr (0.000, 0.000, 0.145)
Nd (0.000, 0.500, 0.500)
Zn (0.000, 0.000, 0.406)
Si (0.000, 0.000, 0.309)
Si (0.000, 0.500, 0.048)
Au (0.000, 0.500, 0.250)

## Properties
The energy comes out at -4.730 eV/atom.

Record 2
The following is a DFT calculation (GGA-PBE) of an optimized crystal structure of PrNdSn2Au4.

Unit cell a=4.7876 b=4.7876 c=9.6099 alpha=90.00 beta=90.00 gamma=120.00
Space group P-6m2 (No. 187)
Asymmetric unit:
Pr (0.0000, 0.0000, 0.0000)
Nd (0.6667, 0.3333, 0.5000)
Sn (0.3333, 0.6667, 0.2501)
Au (0.0000, 0.0000, 0.3474)
Au (0.6667, 0.3333, 0.1528)

## Properties
The energy comes out at -4.531 eV/atom.

> Which of these has the highest energy?

PrNdSn2Au4

What did the second record say?
The following is a DFT calculation (GGA-PBE) of an optimized crystal structure of PrNdSn2Au4.

Unit cell a=4.7876 b=4.7876 c=9.6099 alpha=90.00 beta=90.00 gamma=120.00
Space group P-6m2 (No. 187)
Asymmetric unit:
Pr (0.0000, 0.0000, 0.0000)
Nd (0.6667, 0.3333, 0.5000)
Sn (0.3333, 0.6667, 0.2501)
Au (0.0000, 0.0000, 0.3474)
Au (0.6667, 0.3333, 0.1528)

## Properties
The energy comes out at -4.531 eV/atom.

> Which of these has the lowest energy?

Pr2NdZn2Si4Au2

Please write out number 2 again, unchanged.
The following is a DFT calculation (GGA-PBE) of an optimized crystal structure of PrNdSn2Au4.

Unit cell a=4.7876 b=4.7876 c=9.6099 alpha=90.00 beta=90.00 gamma=120.00
Space group P-6m2 (No. 187)
Asymmetric unit:
Pr (0.0000, 0.0000, 0.0000)
Nd (0.6667, 0.3333, 0.5000)
Sn (0.3333, 0.6667, 0.2501)
Au (0.0000, 0.0000, 0.3474)
Au (0.6667, 0.3333, 0.1528)

## Properties
The energy comes out at -4.531 eV/atom.